The following is a DFT calculation (PBE) of a relaxed BiPb2I2 crystal.

**DFT total energy**: -0.2281 Ry/atom
**Magnetic moment**: 0.000 Bohr magnetons per cell

Cell and atoms, written as CIF:
```
data_BiPb2I2
_chemical_formula_sum 'Bi2 Pb4 I4'
_space_group_name_H-M_alt 'C 1 2/m 1'
_space_group_IT_number 12
_space_group_name_Hall '-C 2y'
_cell_length_a 7.688
_cell_length_b 4.438
_cell_length_c 12.805
_cell_angle_alpha 90.00
_cell_angle_beta 102.65
_cell_angle_gamma 90.00
loop_
_atom_site_label
_atom_site_type_symbol
_atom_site_fract_x
_atom_site_fract_y
_atom_site_fract_z
Bi1 Bi 0.000 0.000 0.000
Pb1 Pb 0.228 0.500 0.168
I1 I 0.046 0.500 0.669
```